1.
{
  "formula": "Y4IrRh2",
  "functional": "PBE-GGA",
  "state": "relaxed",
  "dos_ef_per_ev_cell": 4.147,
  "ef_ev_per_fu": -5.21,
  "final_energy_ev_per_atom": -7.8045,
  "magmom_total_mub_per_fu": 0.0,
  "cell": [[2.416, 1.395, 7.943], [-2.416, 1.395, 7.943], [0.000, -2.789, 7.943]],
  "species": ["Y", "Y", "Y", "Y", "Ir", "Rh", "Rh"],
  "fractional_positions": [[0.125, 0.125, 0.125], [0.375, 0.375, 0.375], [0.625, 0.625, 0.625], [0.875, 0.875, 0.875], [0.000, 0.000, 0.000], [0.250, 0.250, 0.250], [0.750, 0.750, 0.750]]
}

2.
{
  "formula": "Y2IrRh",
  "functional": "PBE-GGA",
  "state": "relaxed",
  "dos_ef_per_ev_cell": 3.274,
  "ef_ev_per_fu": -1.46,
  "final_energy_ev_per_atom": -7.6507,
  "magmom_total_mub_per_fu": 0.0,
  "cell": [[-3.704, 3.704, 3.160], [3.704, -3.704, 3.160], [3.704, 3.704, -3.160]],
  "species": ["Y", "Y", "Y", "Y", "Ir", "Ir", "Rh", "Rh"],
  "fractional_positions": [[0.123, 0.625, 0.998], [0.375, 0.373, 0.498], [0.627, 0.125, 0.002], [0.875, 0.877, 0.502], [0.250, 0.750, 0.500], [0.500, 0.500, 0.000], [0.000, 0.000, 0.000], [0.750, 0.250, 0.500]]
}

3.
{
  "formula": "YIrRh2",
  "functional": "PBE-GGA",
  "state": "relaxed",
  "dos_ef_per_ev_cell": 4.309,
  "ef_ev_per_fu": -1.03,
  "final_energy_ev_per_atom": -7.7653,
  "magmom_total_mub_per_fu": 0.0,
  "cell": [[4.667, -1.499, 0.000], [4.667, 1.499, 0.000], [-0.993, 0.000, 4.890]],
  "species": ["Y", "Ir", "Rh", "Rh"],
  "fractional_positions": [[0.000, 0.000, 0.000], [0.500, 0.500, 0.500], [0.241, 0.241, 0.714], [0.759, 0.759, 0.286]]
}

4.
{
  "formula": "Y2IrRh",
  "functional": "PBE-GGA",
  "state": "relaxed",
  "dos_ef_per_ev_cell": 1.079,
  "ef_ev_per_fu": -2.03,
  "final_energy_ev_per_atom": -7.7917,
  "magmom_total_mub_per_fu": 0.0,
  "cell": [[3.928, 0.000, 0.000], [0.000, 3.928, 0.000], [0.000, 0.000, 5.770]],
  "species": ["Y", "Y", "Ir", "Rh"],
  "fractional_positions": [[0.000, 0.000, 0.000], [0.500, 0.500, 0.400], [0.000, 0.000, 0.504], [0.500, 0.500, 0.890]]
}

5.
{
  "formula": "YIrRh2",
  "functional": "PBE-GGA",
  "state": "relaxed",
  "dos_ef_per_ev_cell": 4.678,
  "ef_ev_per_fu": -1.29,
  "final_energy_ev_per_atom": -7.8302,
  "magmom_total_mub_per_fu": 0.0,
  "cell": [[-2.039, 2.039, 4.055], [2.039, -2.039, 4.055], [2.039, 2.039, -4.055]],
  "species": ["Y", "Ir", "Rh", "Rh"],
  "fractional_positions": [[0.000, 0.000, 0.000], [0.750, 0.250, 0.500], [0.250, 0.750, 0.500], [0.500, 0.500, 0.000]]
}

6.
{
  "formula": "YIrRh2",
  "functional": "PBE-GGA",
  "state": "relaxed",
  "dos_ef_per_ev_cell": 5.253,
  "ef_ev_per_fu": -0.63,
  "final_energy_ev_per_atom": -7.6650,
  "magmom_total_mub_per_fu": 0.0,
  "cell": [[2.964, 0.000, 0.000], [0.000, 4.616, 0.000], [-1.015, 0.000, 5.071]],
  "species": ["Y", "Ir", "Rh", "Rh"],
  "fractional_positions": [[0.000, 0.000, 0.000], [0.500, 0.000, 0.500], [0.346, 0.500, 0.723], [0.654, 0.500, 0.277]]
}

7.
{
  "formula": "YIrRh2",
  "functional": "PBE-GGA",
  "state": "relaxed",
  "dos_ef_per_ev_cell": 13.843,
  "ef_ev_per_fu": -2.15,
  "final_energy_ev_per_atom": -8.0447,
  "magmom_total_mub_per_fu": 0.0,
  "cell": [[2.637, 1.523, 8.801], [-2.637, 1.523, 8.801], [0.000, -3.045, 8.801]],
  "species": ["Y", "Y", "Y", "Ir", "Ir", "Ir", "Rh", "Rh", "Rh", "Rh", "Rh", "Rh"],
  "fractional_positions": [[0.000, 0.000, 0.000], [0.139, 0.139, 0.139], [0.861, 0.861, 0.861], [0.333, 0.333, 0.333], [0.500, 0.500, 0.500], [0.667, 0.667, 0.667], [0.083, 0.582, 0.582], [0.418, 0.418, 0.917], [0.418, 0.917, 0.418], [0.582, 0.083, 0.582], [0.582, 0.582, 0.083], [0.917, 0.418, 0.418]]
}

8.
{
  "formula": "Y5IrRh4",
  "functional": "PBE-GGA",
  "state": "relaxed",
  "dos_ef_per_ev_cell": 5.858,
  "ef_ev_per_fu": -8.24,
  "final_energy_ev_per_atom": -7.8827,
  "magmom_total_mub_per_fu": 0.0,
  "cell": [[3.391, 0.000, 0.000], [0.000, 3.391, 0.000], [0.000, 0.000, 17.658]],
  "species": ["Y", "Y", "Y", "Y", "Y", "Ir", "Rh", "Rh", "Rh", "Rh"],
  "fractional_positions": [[0.000, 0.000, 0.000], [0.000, 0.000, 0.200], [0.000, 0.000, 0.401], [0.000, 0.000, 0.599], [0.000, 0.000, 0.800], [0.500, 0.500, 0.500], [0.500, 0.500, 0.100], [0.500, 0.500, 0.299], [0.500, 0.500, 0.701], [0.500, 0.500, 0.900]]
}

9.
{
  "formula": "YIrRh2",
  "functional": "PBE-GGA",
  "state": "relaxed",
  "dos_ef_per_ev_cell": 4.818,
  "ef_ev_per_fu": -1.76,
  "final_energy_ev_per_atom": -7.9481,
  "magmom_total_mub_per_fu": 0.0,
  "cell": [[4.085, 0.000, 0.000], [0.000, 4.085, 0.000], [0.000, 0.000, 4.001]],
  "species": ["Y", "Ir", "Rh", "Rh"],
  "fractional_positions": [[0.000, 0.000, 0.000], [0.500, 0.500, 0.000], [0.000, 0.500, 0.500], [0.500, 0.000, 0.500]]
}

10.
{
  "formula": "YIrRh2",
  "functional": "PBE-GGA",
  "state": "relaxed",
  "dos_ef_per_ev_cell": 5.897,
  "ef_ev_per_fu": -0.17,
  "final_energy_ev_per_atom": -7.5486,
  "magmom_total_mub_per_fu": 0.0,
  "cell": [[2.645, -3.081, 0.000], [2.645, 3.081, 0.000], [0.000, 0.000, 4.634]],
  "species": ["Y", "Ir", "Rh", "Rh"],
  "fractional_positions": [[0.000, 0.000, 0.000], [0.500, 0.500, 0.000], [0.296, 0.704, 0.500], [0.704, 0.296, 0.500]]
}

11.
{
  "formula": "Y2IrRh",
  "functional": "PBE-GGA",
  "state": "relaxed",
  "dos_ef_per_ev_cell": 5.312,
  "ef_ev_per_fu": -1.11,
  "final_energy_ev_per_atom": -7.5616,
  "magmom_total_mub_per_fu": 0.0,
  "cell": [[0.000, 3.389, 3.389], [3.389, 0.000, 3.389], [3.389, 3.389, 0.000]],
  "species": ["Y", "Y", "Ir", "Rh"],
  "fractional_positions": [[0.000, 0.000, 0.000], [0.250, 0.250, 0.250], [0.750, 0.750, 0.750], [0.500, 0.500, 0.500]]
}

12.
{
  "formula": "YIrRh2",
  "functional": "PBE-GGA",
  "state": "relaxed",
  "dos_ef_per_ev_cell": 3.793,
  "ef_ev_per_fu": -1.38,
  "final_energy_ev_per_atom": -7.8509,
  "magmom_total_mub_per_fu": 0.0,
  "cell": [[-2.051, 2.051, 4.001], [2.051, -2.051, 4.001], [2.051, 2.051, -4.001]],
  "species": ["Y", "Ir", "Rh", "Rh"],
  "fractional_positions": [[0.000, 0.000, 0.000], [0.500, 0.500, 0.000], [0.250, 0.750, 0.500], [0.750, 0.250, 0.500]]
}

13.
{
  "formula": "Y4IrRh",
  "functional": "PBE-GGA",
  "state": "relaxed",
  "dos_ef_per_ev_cell": 7.763,
  "ef_ev_per_fu": 4.05,
  "final_energy_ev_per_atom": -6.3372,
  "magmom_total_mub_per_fu": 0.0,
  "cell": [[0.000, 4.138, 4.138], [4.138, 0.000, 4.138], [4.138, 4.138, 0.000]],
  "species": ["Y", "Y", "Y", "Y", "Ir", "Rh"],
  "fractional_positions": [[0.125, 0.125, 0.125], [0.125, 0.125, 0.626], [0.125, 0.626, 0.125], [0.626, 0.125, 0.125], [0.750, 0.750, 0.750], [0.500, 0.500, 0.500]]
}

14.
{
  "formula": "YIrRh2",
  "functional": "PBE-GGA",
  "state": "relaxed",
  "dos_ef_per_ev_cell": 5.681,
  "ef_ev_per_fu": 0.89,
  "final_energy_ev_per_atom": -7.2855,
  "magmom_total_mub_per_fu": 0.0,
  "cell": [[1.452, 0.838, 9.222], [-1.452, 0.838, 9.222], [0.000, -1.677, 9.222]],
  "species": ["Y", "Ir", "Rh", "Rh"],
  "fractional_positions": [[0.000, 0.000, 0.000], [0.500, 0.500, 0.500], [0.244, 0.244, 0.244], [0.756, 0.756, 0.756]]
}

15.
{
  "formula": "YIrRh2",
  "functional": "PBE-GGA",
  "state": "relaxed",
  "dos_ef_per_ev_cell": 4.680,
  "ef_ev_per_fu": -0.45,
  "final_energy_ev_per_atom": -7.6188,
  "magmom_total_mub_per_fu": 0.0,
  "cell": [[2.961, 0.000, 0.000], [0.000, 2.961, 0.000], [0.000, 0.000, 7.741]],
  "species": ["Y", "Ir", "Rh", "Rh"],
  "fractional_positions": [[0.000, 0.000, 0.000], [0.500, 0.500, 0.280], [0.000, 0.000, 0.501], [0.500, 0.500, 0.727]]
}

16.
{
  "formula": "Y4IrRh",
  "functional": "PBE-GGA",
  "state": "relaxed",
  "dos_ef_per_ev_cell": 12.844,
  "ef_ev_per_fu": -3.88,
  "final_energy_ev_per_atom": -7.6579,
  "magmom_total_mub_per_fu": 0.0,
  "cell": [[4.492, -6.589, 0.000], [4.492, 6.589, 0.000], [-3.588, 0.000, 5.165]],
  "species": ["Y", "Y", "Y", "Y", "Y", "Y", "Y", "Y", "Ir", "Ir", "Rh", "Rh"],
  "fractional_positions": [[0.046, 0.684, 0.895], [0.244, 0.368, 0.736], [0.316, 0.954, 0.605], [0.368, 0.244, 0.236], [0.632, 0.756, 0.764], [0.684, 0.046, 0.395], [0.756, 0.632, 0.264], [0.954, 0.316, 0.105], [0.363, 0.637, 0.250], [0.637, 0.363, 0.750], [0.001, 0.999, 0.250], [0.999, 0.001, 0.750]]
}

17.
{
  "formula": "Y2IrRh",
  "functional": "PBE-GGA",
  "state": "relaxed",
  "dos_ef_per_ev_cell": 2.208,
  "ef_ev_per_fu": -2.37,
  "final_energy_ev_per_atom": -7.8774,
  "magmom_total_mub_per_fu": 0.0,
  "cell": [[-2.010, 2.010, 5.075], [2.010, -2.010, 5.075], [2.010, 2.010, -5.075]],
  "species": ["Y", "Y", "Ir", "Rh"],
  "fractional_positions": [[0.000, 0.000, 0.000], [0.750, 0.250, 0.500], [0.500, 0.500, 0.000], [0.250, 0.750, 0.500]]
}

18.
{
  "formula": "YIrRh2",
  "functional": "PBE-GGA",
  "state": "relaxed",
  "dos_ef_per_ev_cell": 7.063,
  "ef_ev_per_fu": -0.70,
  "final_energy_ev_per_atom": -7.6809,
  "magmom_total_mub_per_fu": 0.0,
  "cell": [[3.400, 0.000, 0.000], [0.000, 3.400, 0.000], [0.000, 0.000, 6.020]],
  "species": ["Y", "Ir", "Rh", "Rh"],
  "fractional_positions": [[0.000, 0.000, 0.000], [0.500, 0.500, 0.294], [0.000, 0.000, 0.492], [0.500, 0.500, 0.731]]
}

19.
{
  "formula": "YIrRh2",
  "functional": "PBE-GGA",
  "state": "relaxed",
  "dos_ef_per_ev_cell": 4.531,
  "ef_ev_per_fu": -1.21,
  "final_energy_ev_per_atom": -7.8096,
  "magmom_total_mub_per_fu": 0.0,
  "cell": [[2.976, 0.000, 0.000], [0.000, 4.599, 0.000], [0.000, 0.000, 4.873]],
  "species": ["Y", "Ir", "Rh", "Rh"],
  "fractional_positions": [[0.000, 0.000, 0.000], [0.000, 0.500, 0.606], [0.500, 0.000, 0.504], [0.500, 0.500, 0.136]]
}

20.
{
  "formula": "Y8Ir2Rh",
  "functional": "PBE-GGA",
  "state": "relaxed",
  "dos_ef_per_ev_cell": 10.867,
  "ef_ev_per_fu": -5.06,
  "final_energy_ev_per_atom": -7.4404,
  "magmom_total_mub_per_fu": 0.0,
  "cell": [[4.218, -6.246, 0.000], [4.218, 6.246, 0.000], [-1.865, 0.000, 5.654]],
  "species": ["Y", "Y", "Y", "Y", "Y", "Y", "Y", "Y", "Ir", "Ir", "Rh"],
  "fractional_positions": [[0.000, 0.000, 0.000], [0.022, 0.283, 0.592], [0.146, 0.577, 0.185], [0.283, 0.022, 0.592], [0.434, 0.694, 0.790], [0.577, 0.146, 0.185], [0.694, 0.434, 0.790], [0.722, 0.722, 0.372], [0.044, 0.669, 0.685], [0.669, 0.044, 0.685], [0.364, 0.364, 0.040]]
}

21.
{
  "formula": "Y6IrRh3",
  "functional": "PBE-GGA",
  "state": "relaxed",
  "dos_ef_per_ev_cell": 12.018,
  "ef_ev_per_fu": -6.40,
  "final_energy_ev_per_atom": -7.6096,
  "magmom_total_mub_per_fu": 0.0,
  "cell": [[8.256, 0.000, 0.000], [0.000, 12.024, 0.000], [0.000, 0.000, 4.773]],
  "species": ["Y", "Y", "Y", "Y", "Y", "Y", "Y", "Y", "Y", "Y", "Y", "Y", "Ir", "Ir", "Rh", "Rh", "Rh", "Rh", "Rh", "Rh"],
  "fractional_positions": [[0.001, 0.246, 0.000], [0.161, 0.412, 0.500], [0.171, 0.080, 0.500], [0.329, 0.580, 0.000], [0.339, 0.912, 0.000], [0.499, 0.746, 0.500], [0.501, 0.254, 0.500], [0.661, 0.088, 0.000], [0.671, 0.420, 0.000], [0.829, 0.920, 0.500], [0.839, 0.588, 0.500], [0.999, 0.754, 0.000], [0.000, 0.500, 0.000], [0.500, 0.000, 0.500], [0.000, 0.000, 0.000], [0.165, 0.837, 0.500], [0.335, 0.337, 0.000], [0.500, 0.500, 0.500], [0.665, 0.663, 0.000], [0.835, 0.163, 0.500]]
}

22.
{
  "formula": "Y2IrRh",
  "functional": "PBE-GGA",
  "state": "relaxed",
  "dos_ef_per_ev_cell": 1.044,
  "ef_ev_per_fu": -3.34,
  "final_energy_ev_per_atom": -8.1200,
  "magmom_total_mub_per_fu": 0.0,
  "cell": [[0.000, 3.437, 3.437], [3.437, 0.000, 3.437], [3.437, 3.437, 0.000]],
  "species": ["Y", "Y", "Ir", "Rh"],
  "fractional_positions": [[0.250, 0.250, 0.250], [0.750, 0.750, 0.750], [0.000, 0.000, 0.000], [0.500, 0.500, 0.500]]
}

23.
{
  "formula": "YIr4Rh",
  "functional": "PBE-GGA",
  "state": "relaxed",
  "dos_ef_per_ev_cell": 11.485,
  "ef_ev_per_fu": -0.86,
  "final_energy_ev_per_atom": -8.3531,
  "magmom_total_mub_per_fu": 2.6,
  "cell": [[0.000, 3.716, 3.716], [3.716, 0.000, 3.716], [3.716, 3.716, 0.000]],
  "species": ["Y", "Ir", "Ir", "Ir", "Ir", "Rh"],
  "fractional_positions": [[0.000, 0.000, 0.000], [0.375, 0.375, 0.375], [0.375, 0.375, 0.874], [0.375, 0.874, 0.375], [0.874, 0.375, 0.375], [0.750, 0.750, 0.750]]
}

24.
{
  "formula": "Y2IrRh",
  "functional": "PBE-GGA",
  "state": "relaxed",
  "dos_ef_per_ev_cell": 1.643,
  "ef_ev_per_fu": -2.04,
  "final_energy_ev_per_atom": -7.7948,
  "magmom_total_mub_per_fu": 0.0,
  "cell": [[2.153, 1.243, 6.572], [-2.153, 1.243, 6.572], [0.000, -2.486, 6.572]],
  "species": ["Y", "Y", "Ir", "Rh"],
  "fractional_positions": [[0.000, 0.000, 0.000], [0.175, 0.175, 0.175], [0.420, 0.420, 0.420], [0.755, 0.755, 0.755]]
}

25.
{
  "formula": "YIrRh2",
  "functional": "PBE-GGA",
  "state": "relaxed",
  "dos_ef_per_ev_cell": 3.632,
  "ef_ev_per_fu": -1.09,
  "final_energy_ev_per_atom": -7.7805,
  "magmom_total_mub_per_fu": 0.0,
  "cell": [[4.708, -1.483, 0.000], [4.708, 1.483, 0.000], [-0.972, 0.000, 4.855]],
  "species": ["Y", "Ir", "Rh", "Rh"],
  "fractional_positions": [[0.000, 0.000, 0.000], [0.244, 0.244, 0.693], [0.503, 0.503, 0.510], [0.756, 0.756, 0.255]]
}

26.
{
  "formula": "Y2IrRh",
  "functional": "PBE-GGA",
  "state": "relaxed",
  "dos_ef_per_ev_cell": 1.015,
  "ef_ev_per_fu": -3.04,
  "final_energy_ev_per_atom": -8.0452,
  "magmom_total_mub_per_fu": 0.0,
  "cell": [[4.193, 0.000, 0.000], [0.000, 1.943, 5.315], [0.000, -1.943, 5.315]],
  "species": ["Y", "Y", "Ir", "Rh"],
  "fractional_positions": [[0.000, 0.000, 0.000], [0.500, 0.289, 0.289], [0.500, 0.564, 0.564], [0.000, 0.726, 0.726]]
}

27.
{
  "formula": "YIrRh2",
  "functional": "PBE-GGA",
  "state": "relaxed",
  "dos_ef_per_ev_cell": 7.415,
  "ef_ev_per_fu": -0.28,
  "final_energy_ev_per_atom": -7.5770,
  "magmom_total_mub_per_fu": 0.0,
  "cell": [[-2.021, 2.021, 9.216], [2.021, -2.021, 9.216], [2.021, 2.021, -9.216]],
  "species": ["Y", "Y", "Ir", "Ir", "Rh", "Rh", "Rh", "Rh"],
  "fractional_positions": [[0.000, 0.000, 0.000], [0.750, 0.250, 0.500], [0.250, 0.750, 0.500], [0.500, 0.500, 0.000], [0.175, 0.625, 0.050], [0.375, 0.425, 0.550], [0.575, 0.125, 0.950], [0.875, 0.825, 0.450]]
}